Record 1
Computed, not measured: Ac2H5Ru after structural relaxation at the GGA-PBE level of DFT.

Cell lengths 5.3754, 5.3754, 7.9447 Å; angles 90.00, 90.00, 90.00 degrees
With the nearest neighbours (Å) after each atom.
Space group I4mm (No. 107)
Unique sites:
Ac  0.0000  0.5000  0.0000 x4  10 H 2.69-2.77
H  0.0000  0.0000  0.4849 x2  1 Ru 1.82
H  0.2306  0.2306  0.2472 x8  1 Ru 1.75
Ru  0.0000  0.0000  0.2558 x2  5 H 1.75-1.82


Record 2
Computed, not measured: Ac2H6Ru after structural relaxation at the GGA-PBE level of DFT.

Cell lengths 7.7397, 7.7397, 7.7397 Å; angles 90.00, 90.00, 90.00 degrees
With the nearest neighbours (Å) after each atom.
Space group Fm-3m (No. 225)
Unique sites:
Ac  0.2500  0.2500  0.2500 x8  12 H 2.74
H  0.0000  0.0000  0.2280 x24  1 Ru 1.76
Ru  0.0000  0.0000  0.0000 x4  6 H 1.76


Record 3
Computed, not measured: Ac2H4Ru after structural relaxation at the GGA-PBE level of DFT.

Cell lengths 3.6606, 3.6606, 15.1135 Å; angles 90.00, 90.00, 90.00 degrees
With the nearest neighbours (Å) after each atom.
Space group I4/mmm (No. 139)
Unique sites:
Ac  0.0000  0.0000  0.1362 x4  9 H 2.57-2.75
H  0.0000  0.0000  0.3062 x4  5 Ac 2.57-2.73
H  0.0000  0.5000  0.0000 x4  2 Ru 1.83
Ru  0.0000  0.0000  0.5000 x2  4 H 1.83


Record 4
Computed, not measured: AcH6Ru2 after structural relaxation at the GGA-PBE level of DFT.

Cell lengths 4.8002, 4.8002, 4.5366 Å; angles 90.00, 90.00, 120.00 degrees
With the nearest neighbours (Å) after each atom.
Space group P6/mmm (No. 191)
Unique sites:
Ac  0.0000  0.0000  0.0000 x1  12 H 2.66
H  0.0000  0.5000  0.2519 x6  2 Ru 1.79
Ru  0.3333  0.6667  0.5000 x2  6 H 1.79


Record 5
Computed, not measured: Ac2HRu after structural relaxation at the GGA-PBE level of DFT.

Cell lengths 4.1510, 4.1510, 21.8219 Å; angles 90.00, 90.00, 120.00 degrees
With the nearest neighbours (Å) after each atom.
Space group R3m (No. 160, hexagonal axes)
Unique sites:
Ac  0.0000  0.0000  0.0000 x3  3 Ru 2.92, 3 H 3.03
Ac  0.0000  0.0000  0.1798 x3  3 Ru 2.93, 3 H 3.17
H  0.0000  0.0000  0.4183 x3  6 Ac 3.03-3.17
Ru  0.0000  0.0000  0.5906 x3  6 Ac 2.92-2.93


Record 6
Computed, not measured: Ac2HRu after structural relaxation at the GGA-PBE level of DFT.

Cell lengths 3.5323, 3.5323, 7.5636 Å; angles 90.00, 90.00, 90.00 degrees
With the nearest neighbours (Å) after each atom.
Space group P4/mmm (No. 123)
Unique sites:
Ac  0.0000  0.0000  0.2487 x2  4 Ru 3.13, 4 H 3.14
H  0.5000  0.5000  0.5000 x1  8 Ac 3.14
Ru  0.5000  0.5000  0.0000 x1  8 Ac 3.13


Record order is preserved below.
Mass density: 8.103; 8.039; 9.169; 7.983; 8.507; 9.785 g cm⁻³
Record order is preserved below.
Final energy: -75.951; -167.735; -66.040; -44.858; -63.725; -20.989 eV/cell